No. 1
PrPuTlPb | PBE | optimized geometry

a b c (Å): 5.529 5.529 5.529
angles (deg): 60.00 60.00 60.00
Site moments in Bohr magnetons follow the coordinates.
Atoms (fractional coordinates):
Pb  0.500  0.500  0.500  -0.03
Pr  0.750  0.750  0.750  0.20
Tl  0.000  0.000  0.000  0.00
Pu  0.250  0.250  0.250  5.55

volume	119.5	Å³/f.u.
DFT formation energy	-217	meV per atom



No. 2
PrPuZnPb | PBE | optimized geometry

a b c (Å): 5.395 5.395 5.395
angles (deg): 60.00 60.00 60.00
Site moments in Bohr magnetons follow the coordinates.
Atoms (fractional coordinates):
Pb  0.500  0.500  0.500  -0.04
Pr  0.250  0.250  0.250  0.30
Zn  0.000  0.000  0.000  0.06
Pu  0.750  0.750  0.750  5.63

volume	111.1	Å³/f.u.
DFT formation energy	-201	meV per atom



No. 3
RbPrPb2 | PBE | optimized geometry

a b c (Å): 3.833 3.833 11.667
angles (deg): 80.55 80.55 60.00
Atoms (fractional coordinates):
Pb  0.744  0.744  0.769
Pb  0.256  0.256  0.231
Pr  0.000  0.000  0.000
Rb  0.500  0.500  0.500

volume	145.7	Å³/f.u.
DFT formation energy	-140	meV per atom